No. 1
Density functional theory data (PBE) for a geometry-optimized CdSnRuRh structure.

Calculated values
- DFT formation energy: -0.14 eV per atom
- Theoretical density: 10.792 g cm⁻³
- Size of the total moment: 0.0 μB/f.u.

The structure in extended XYZ format:
```
4
Lattice="-3.010 -2.673 -2.137 -2.105 -3.338 2.280 -4.441 0.347 0.962" Properties=species:S:1:pos:R:3 pbc="T T T"
Sn 0.000 0.000 0.000
Ru -7.168 -4.248 0.829
Cd -4.778 -2.832 0.553
Rh -2.389 -1.416 0.276
```

=====

No. 2
Density functional theory data (PBE) for a geometry-optimized YBIrRu2 structure.

Calculated values
- DFT formation energy: -0.45 eV per atom
- Theoretical density: 10.972 g cm⁻³
- Size of the total moment: 0.0 μB/f.u.

The structure in extended XYZ format:
```
5
Lattice="-1.478 3.902 -0.658 -3.548 -0.996 2.065 1.738 1.265 3.596" Properties=species:S:1:pos:R:3 pbc="T T T"
Ir 0.869 0.633 1.798
B 0.000 0.000 0.000
Y -1.644 2.086 2.502
Ru -1.774 -0.498 1.033
Ru -0.739 1.951 -0.329
```

=====

No. 3
Density functional theory data (PBE) for a geometry-optimized BaTlPbW2 structure.

Calculated values
- DFT formation energy: 2.04 eV per atom
- Theoretical density: 8.430 g cm⁻³
- Size of the total moment: 5.2 μB/f.u.

The structure in extended XYZ format:
```
5
Lattice="5.321 0.000 0.000 0.000 6.376 0.000 0.000 0.000 5.321" Properties=species:S:1:pos:R:3 pbc="T T T"
Ba 0.000 3.188 0.000
Tl 2.661 3.188 2.661
Pb 0.000 0.000 0.000
W 0.000 0.000 2.661
W 2.661 0.000 0.000
```

=====

No. 4
Density functional theory data (PBE) for a geometry-optimized La2AlN structure.

Calculated values
- Theoretical density: 5.074 g cm⁻³
- Size of the total moment: 0.0 μB/f.u.
- Distance to the lowest polymorph of the same formula: 170.7 meV/atom

The structure in extended XYZ format:
```
4
Lattice="3.560 0.000 0.000 1.780 3.083 0.000 1.780 1.028 9.505" Properties=species:S:1:pos:R:3 pbc="T T T"
N 3.560 2.055 4.753
Al 0.000 0.000 0.000
La 1.780 1.028 6.195
La 5.340 3.083 3.310
```

=====

No. 5
Density functional theory data (PBE) for a geometry-optimized LiHoIn4 structure.

Calculated values
- DFT formation energy: -0.14 eV per atom
- Theoretical density: 6.813 g cm⁻³
- Size of the total moment: 0.0 μB/f.u.

The structure in extended XYZ format:
```
6
Lattice="6.014 0.000 0.000 3.007 5.209 0.000 3.007 1.736 4.911" Properties=species:S:1:pos:R:3 pbc="T T T"
Li 3.007 1.736 1.228
Ho 0.000 0.000 0.000
In 6.014 3.472 0.614
In 4.511 4.341 3.069
In 7.518 4.341 3.069
In 6.014 1.736 3.069
```

=====

No. 6
Density functional theory data (PBE) for a geometry-optimized KNa3Tl2 structure.

Calculated values
- DFT formation energy: -0.07 eV per atom
- Theoretical density: 3.920 g cm⁻³
- Size of the total moment: 0.0 μB/f.u.
- Distance to the lowest polymorph of the same formula: 0.0 meV/atom

The structure in extended XYZ format:
```
12
Lattice="6.665 0.000 0.000 0.000 8.043 1.078 0.000 -1.637 7.948" Properties=species:S:1:pos:R:3 pbc="T T T"
Na 4.998 -0.086 3.495
Tl 0.000 5.723 2.725
Na 1.666 6.492 5.531
Tl 0.000 0.684 6.301
K 1.666 2.443 3.442
Na 1.666 0.242 0.341
Na 4.998 3.328 1.072
Tl 3.332 5.723 2.725
K 4.998 3.964 5.585
Na 4.998 6.164 8.685
Tl 3.332 0.684 6.301
Na 1.666 3.079 7.954
```

=====

No. 7
Density functional theory data (PBE) for a geometry-optimized RhW4Cl structure.

Calculated values
- E: -54.65 eV/f.u.
- Theoretical density: 13.837 g cm⁻³
- Size of the total moment: 0.0 μB/f.u.

The structure in extended XYZ format:
```
6
Lattice="0.000 3.743 3.743 3.743 0.000 3.743 3.743 3.743 0.000" Properties=species:S:1:pos:R:3 pbc="T T T"
Rh 0.000 0.000 0.000
W 2.809 4.676 4.676
W 4.676 4.676 2.809
W 4.676 2.809 4.676
Cl 5.614 5.614 5.614
W 2.809 2.809 2.809
```

=====

No. 8
Density functional theory data (PBE) for a geometry-optimized Ac2La7Tm3 structure.

Calculated values
- DFT formation energy: 0.08 eV per atom
- Theoretical density: 7.331 g cm⁻³
- Size of the total moment: 0.0 μB/f.u.

The structure in extended XYZ format:
```
12
Lattice="3.667 0.000 0.000 0.000 6.524 -0.912 0.000 -2.406 18.641" Properties=species:S:1:pos:R:3 pbc="T T T"
La 0.000 2.548 2.587
Tm 0.000 5.022 5.447
Tm 1.833 3.262 -0.456
La 1.833 -1.616 15.461
La 0.000 1.571 15.142
Ac 1.833 1.829 5.767
La 0.000 0.000 0.000
Ac 1.833 2.290 11.962
La 1.833 0.277 8.951
Tm 0.000 -0.903 12.282
La 1.833 5.735 2.267
La 1.833 3.842 8.778
```

=====

Repeat the eighth record exactly.
Density functional theory data (PBE) for a geometry-optimized Ac2La7Tm3 structure.

Calculated values
- DFT formation energy: 0.08 eV per atom
- Theoretical density: 7.331 g cm⁻³
- Size of the total moment: 0.0 μB/f.u.

The structure in extended XYZ format:
```
12
Lattice="3.667 0.000 0.000 0.000 6.524 -0.912 0.000 -2.406 18.641" Properties=species:S:1:pos:R:3 pbc="T T T"
La 0.000 2.548 2.587
Tm 0.000 5.022 5.447
Tm 1.833 3.262 -0.456
La 1.833 -1.616 15.461
La 0.000 1.571 15.142
Ac 1.833 1.829 5.767
La 0.000 0.000 0.000
Ac 1.833 2.290 11.962
La 1.833 0.277 8.951
Tm 0.000 -0.903 12.282
La 1.833 5.735 2.267
La 1.833 3.842 8.778
```

=====

What is the formula in the eighth record? Ac2La7Tm3